Entry 1:
Below is crystalline Rb2BeTe2 at its relaxed geometry, with properties calculated at the PBE-GGA level.

Results
E above lowest polymorph in eV/atom: 0.9858

a = 4.5263 Å, b = 4.5263 Å, c = 10.8467 Å
α = 77.96°, β = 77.96°, γ = 90.00°
Fractional coordinates of all 5 atoms:
Te1 0.7500 0.2500 0.5000
Rb1 0.6079 0.6079 0.7842
Rb2 0.3921 0.3921 0.2158
Be1 0.0000 0.0000 0.0000
Te2 0.2500 0.7500 0.5000

***

Entry 2:
Below is crystalline Cs5AsS4Cl2 at its relaxed geometry, with properties calculated at the PBE-GGA level.

a = 8.3483 Å, b = 7.1953 Å, c = 10.3011 Å
α = 90.00°, β = 90.00°, γ = 125.46°
Fractional coordinates of all 12 atoms:
S1 0.5454 0.0000 0.8261
Cs1 0.1135 0.3855 0.2350
Cs2 0.7279 0.6145 0.2350
Cl1 0.9337 0.5223 0.5000
S2 0.0838 0.6999 0.0000
Cs3 0.7279 0.6145 0.7650
S3 0.5454 0.0000 0.1739
Cl2 0.4114 0.4777 0.5000
Cs4 0.1135 0.3855 0.7650
Cs5 0.4278 0.0000 0.5000
As1 0.3913 0.0000 0.0000
S4 0.3839 0.3001 0.0000

***

Entry 3:
Below is crystalline BeCrSi2Tc at its relaxed geometry, with properties calculated at the PBE-GGA level.

a = 4.1208 Å, b = 3.9019 Å, c = 4.1208 Å
α = 90.00°, β = 90.00°, γ = 90.00°
Last column: magnetic moment on the atom in μB.
Fractional coordinates of all 5 atoms:
Tc1 0.0000 0.5000 0.0000  -0.10
Be1 0.0000 0.0000 0.0000  0.00
Cr1 0.5000 0.5000 0.5000  -0.17
Si1 0.0000 0.0000 0.5000  0.01
Si2 0.5000 0.0000 0.0000  0.01

***

Entry 4:
Below is crystalline MgCo2Ir2 at its relaxed geometry, with properties calculated at the PBE-GGA level.

Results
E above lowest polymorph in eV/atom: 0.1855
Energy of formation from the pure elements in eV/atom: 0.19

a = 3.6512 Å, b = 3.6512 Å, c = 6.2840 Å
α = 73.11°, β = 73.11°, γ = 90.00°
Last column: magnetic moment on the atom in μB.
Fractional coordinates of all 5 atoms:
Mg1 0.0000 0.0000 0.0000  0.00
Ir1 0.6066 0.6066 0.7868  0.33
Co1 0.7500 0.2500 0.5000  1.38
Co2 0.2500 0.7500 0.5000  1.38
Ir2 0.3934 0.3934 0.2132  0.33

***

Entry 5:
Below is crystalline AcNdCuSi at its relaxed geometry, with properties calculated at the PBE-GGA level.

a = 5.2707 Å, b = 5.2707 Å, c = 5.2707 Å
α = 60.00°, β = 60.00°, γ = 60.00°
Fractional coordinates of all 4 atoms:
Si1 0.7500 0.7500 0.7500
Cu1 0.2500 0.2500 0.2500
Ac1 0.0000 0.0000 0.0000
Nd1 0.5000 0.5000 0.5000

***

Entry 6:
Below is crystalline Th5Bi3B at its relaxed geometry, with properties calculated at the PBE-GGA level.

Results
Energy of formation from the pure elements in eV/atom: -0.55

a = 6.5631 Å, b = 9.5535 Å, c = 9.5535 Å
α = 120.00°, β = 90.00°, γ = 90.00°
Fractional coordinates of all 18 atoms:
Th1 0.5000 0.6667 0.3333
Bi1 0.7500 0.3975 0.0000
B1 0.0000 0.0000 0.0000
Th2 0.5000 0.3333 0.6667
B2 0.5000 0.0000 0.0000
Th3 0.0000 0.6667 0.3333
Th4 0.2500 0.0000 0.2285
Bi2 0.2500 0.0000 0.6025
Th5 0.0000 0.3333 0.6667
Bi3 0.7500 0.0000 0.3975
Th6 0.7500 0.2285 0.2285
Bi4 0.2500 0.3975 0.3975
Th7 0.7500 0.7715 0.0000
Th8 0.2500 0.2285 0.0000
Bi5 0.7500 0.6025 0.6025
Bi6 0.2500 0.6025 0.0000
Th9 0.2500 0.7715 0.7715
Th10 0.7500 0.0000 0.7715

***

Entry 7:
Below is crystalline GdSnPd2 at its relaxed geometry, with properties calculated at the PBE-GGA level.

Results
Energy of formation from the pure elements in eV/atom: -0.72

a = 3.7436 Å, b = 4.6623 Å, c = 4.6623 Å
α = 90.00°, β = 90.00°, γ = 90.00°
Last column: magnetic moment on the atom in μB.
Fractional coordinates of all 4 atoms:
Sn1 0.5000 0.0000 0.0000  0.00
Pd1 0.0000 0.0000 0.5000  0.03
Gd1 0.5000 0.5000 0.5000  7.03
Pd2 0.0000 0.5000 0.0000  0.03

***

Entry 8:
Below is crystalline K2RbSrBr at its relaxed geometry, with properties calculated at the PBE-GGA level.

Results
E above lowest polymorph in eV/atom: 0.0097

a = 6.6638 Å, b = 6.6638 Å, c = 6.8871 Å
α = 90.00°, β = 90.00°, γ = 90.00°
Fractional coordinates of all 5 atoms:
Sr1 0.5000 0.5000 0.5000
K1 0.0000 0.5000 0.0000
Rb1 0.0000 0.0000 0.5000
K2 0.5000 0.0000 0.0000
Br1 0.0000 0.0000 0.0000

***

no.,V (Å³/cell),final energy (eV per atom)
1,212.3,-2.198
2,504.0,-3.640
3,66.3,-6.056
4,76.4,-6.513
5,103.5,-4.881
6,518.8,-6.706
7,81.4,-7.833
8,305.8,-1.814